VASP calculation (PBE) on an optimized crystal structure of Rb3Tl3Sn2.

Computed properties:
DOS(E_F), states/eV/cell: 7.42
E, eV per atom: -2.3926
Energy above the most stable polymorph in this dataset, kJ/mol of atoms: 0.0

a = 5.300 Å, b = 7.179 Å, c = 18.082 Å
α = 90.00°, β = 90.00°, γ = 111.66°
Fractional coordinates of all 16 atoms:
Sn 0.786 0.572 0.895
Sn 0.786 0.572 0.605
Sn 0.214 0.428 0.395
Sn 0.214 0.428 0.105
Rb 0.927 0.854 0.107
Rb 0.621 0.242 0.250
Rb 0.073 0.146 0.607
Rb 0.927 0.854 0.393
Rb 0.379 0.758 0.750
Rb 0.073 0.146 0.893
Tl 0.361 0.722 0.970
Tl 0.329 0.657 0.250
Tl 0.639 0.278 0.030
Tl 0.639 0.278 0.470
Tl 0.671 0.343 0.750
Tl 0.361 0.722 0.530